Entry 1:
DFT (PBE) results for HoAl12Fe4 after structural relaxation.

a = 8.9743 Å, b = 8.9743 Å, c = 8.9743 Å
α = 90.00°, β = 90.00°, γ = 90.00°
Space group Im-3m (No. 229)
Inequivalent atoms, fractional coordinates:
Ho 0.0000 0.0000 0.0000 (multiplicity 2)
Al 0.0000 0.2627 0.2627 (multiplicity 24)
Fe 0.2500 0.2500 0.2500 (multiplicity 8)

Results
**Fermi-level density of states**: 6.25 states/eV per cell
**DFT formation energy**: -56 meV per atom


Entry 2:
DFT (PBE) results for HoAl8Fe4 after structural relaxation.

a = 8.6853 Å, b = 8.6853 Å, c = 5.0182 Å
α = 90.00°, β = 90.00°, γ = 90.00°
Space group I4/mmm (No. 139)
Inequivalent atoms, fractional coordinates:
Ho 0.0000 0.0000 0.0000 (multiplicity 2)
Al 0.0000 0.2204 0.5000 (multiplicity 8)
Al 0.0000 0.3401 0.0000 (multiplicity 8)
Fe 0.2500 0.2500 0.2500 (multiplicity 8)

Results
**Fermi-level density of states**: 17.19 states/eV per cell
**DFT formation energy**: -429 meV per atom


Entry 3:
DFT (PBE) results for Ho2Al2Fe15 after structural relaxation.

a = 8.3402 Å, b = 8.3402 Å, c = 12.5220 Å
α = 90.00°, β = 90.00°, γ = 120.00°
Space group R-3m (No. 166, hexagonal axes)
Inequivalent atoms, fractional coordinates:
Ho 0.0000 0.0000 0.1531 (multiplicity 6)
Al 0.0000 0.0000 0.3983 (multiplicity 6)
Fe 0.0000 0.3022 0.5000 (multiplicity 18)
Fe 0.0000 0.5000 0.0000 (multiplicity 9)
Fe 0.0006 0.5003 0.6591 (multiplicity 18)

Results
**Fermi-level density of states**: 51.42 states/eV per cell
**DFT formation energy**: -99 meV per atom


Question: Which of these has the lowest DFT formation energy?
Answer: HoAl8Fe4